A plane-wave DFT calculation with PBE-GGA was carried out for a relaxed MgFeRu2 crystal.

## Properties
symmetry = No. 99
formation energy = 0.15 eV/atom

Cell lengths 2.762, 2.762, 7.639 Å; angles 90.00, 90.00, 90.00 degrees
Sites, in units of the cell vectors:
Fe 0.000 0.000 0.485
Mg 0.500 0.500 0.752
Ru 0.500 0.500 0.244
Ru 0.000 0.000 0.019